Entry 1:
Here is an optimized crystal structure of Li2TlAu3 from Alexandria via LeMat-Bulk. Energies are from PBE.

## Properties
**Energy relative to the lowest polymorph listed for this composition**: 0 meV per atom
**Calculated total energy**: -3.0012 eV/atom
**Energy relative to the elements**: -330.2 meV per atom

a b c (Å): 4.235 4.993 11.557
angles (deg): 80.19 80.24 65.15
Space group P-1 (No. 2)
Inequivalent atoms, fractional coordinates:
Li (0.000, 0.000, 0.000) x1
Li (0.000, 0.500, 0.500) x1
Li (0.338, 0.160, 0.163) x2
Tl (0.327, 0.670, 0.674) x2
Au (0.008, 0.761, 0.226) x2
Au (0.337, 0.393, 0.932) x2
Au (0.337, 0.907, 0.417) x2

Entry 2:
Here is an optimized crystal structure of VNi2Rh3 from Alexandria via LeMat-Bulk. Energies are from PBE.

## Properties
**Calculated total energy**: -7.2957 eV/atom
**Energy relative to the elements**: -173.1 meV per atom

a b c (Å): 3.836 11.510 7.106
angles (deg): 90.00 90.00 90.00
Space group Cmmm (No. 65)
Inequivalent atoms, fractional coordinates:
V (0.000, 0.152, 0.000) x4
Ni (0.000, 0.173, 0.500) x4
Ni (0.000, 0.500, 0.000) x2
Ni (0.000, 0.500, 0.500) x2
Rh (0.000, 0.000, 0.255) x4
Rh (0.000, 0.332, 0.240) x8

Entry 3:
Here is an optimized crystal structure of ScMn2Ir2 from Alexandria via LeMat-Bulk. Energies are from PBE.

## Properties
**Energy relative to the lowest polymorph listed for this composition**: 101 meV per atom
**Calculated total energy**: -8.6336 eV/atom
**Energy relative to the elements**: -155.1 meV per atom

a b c (Å): 7.305 7.305 2.709
angles (deg): 90.00 90.00 90.00
Space group P4/mbm (No. 127)
Inequivalent atoms, fractional coordinates:
Sc (0.000, 0.000, 0.000) x2
Mn (0.170, 0.330, 0.500) x4
Ir (0.128, 0.628, 0.000) x4

Entry 4:
Here is an optimized crystal structure of CrMoP2 from Alexandria via LeMat-Bulk. Energies are from PBE.

## Properties
**Energy relative to the lowest polymorph listed for this composition**: 175 meV per atom
**Calculated total energy**: -8.1721 eV/atom
**Energy relative to the elements**: -353.6 meV per atom

a b c (Å): 8.278 3.047 4.256
angles (deg): 90.00 105.77 90.00
Space group Cm (No. 8)
Inequivalent atoms, fractional coordinates:
Cr (0.000, 0.000, 0.000) x2
Mo (0.273, 0.500, 0.386) x2
P (0.013, 0.500, 0.543) x2
P (0.268, 0.000, 0.881) x2

Entry 5:
Here is an optimized crystal structure of Ac4OsPb2 from Alexandria via LeMat-Bulk. Energies are from PBE.

## Properties
**Energy relative to the lowest polymorph listed for this composition**: 0 meV per atom
**Calculated total energy**: -5.3446 eV/atom
**Energy relative to the elements**: -333.2 meV per atom

a b c (Å): 12.681 4.906 9.428
angles (deg): 90.00 120.86 90.00
Space group C2/m (No. 12)
Inequivalent atoms, fractional coordinates:
Ac (0.069, 0.000, 0.346) x4
Ac (0.164, 0.500, 0.057) x4
Os (0.000, 0.000, 0.000) x2
Pb (0.145, 0.500, 0.656) x4

Entry 6:
Here is an optimized crystal structure of NbBiMo2Pt from Alexandria via LeMat-Bulk. Energies are from PBE.

## Properties
**Calculated total energy**: -6.9831 eV/atom
**Energy relative to the elements**: 1347.7 meV per atom

a b c (Å): 4.753 4.753 5.078
angles (deg): 90.00 90.00 90.00
Space group P4/mmm (No. 123)
Inequivalent atoms, fractional coordinates:
Nb (0.000, 0.000, 0.000) x1
Bi (0.500, 0.500, 0.500) x1
Mo (0.000, 0.500, 0.000) x2
Pt (0.000, 0.000, 0.500) x1

Q: Which of these has the highest energy relative to the elements?
A: NbBiMo2Pt

Q: Which formula does entry 1 have?
A: Li2TlAu3